# 1
# ScTi2ZnAs, relaxed, DFT PBE
data_ScTi2ZnAs
_symmetry_space_group_name_H-M 'P 4/m m m'
_symmetry_Int_Tables_number 123
_symmetry_space_group_name_Hall '-P 4 2'
_cell_length_a 4.7603
_cell_length_b 4.7603
_cell_length_c 4.6711
_cell_angle_alpha 90.00
_cell_angle_beta 90.00
_cell_angle_gamma 90.00
loop_
_atom_site_label
_atom_site_type_symbol
_atom_site_fract_x
_atom_site_fract_y
_atom_site_fract_z
Sc1 Sc 0.0000 0.0000 0.0000
Ti1 Ti 0.0000 0.5000 0.5000
Zn1 Zn 0.5000 0.5000 0.0000
As1 As 0.5000 0.5000 0.5000
# crystal system	tetragonal
# mass density	4.4	g/cm3
# DFT formation energy	0.16	eV per atom

# 2
# Sm2InNi12B3, relaxed, DFT PBE
data_Sm2InNi12B3
_symmetry_space_group_name_H-M 'R -3 m'
_symmetry_Int_Tables_number 166
_symmetry_space_group_name_Hall '-R 3 2"'
_cell_length_a 6.9926
_cell_length_b 6.9926
_cell_length_c 17.5003
_cell_angle_alpha 90.00
_cell_angle_beta 90.00
_cell_angle_gamma 120.00
loop_
_atom_site_label
_atom_site_type_symbol
_atom_site_fract_x
_atom_site_fract_y
_atom_site_fract_z
Sm1 Sm 0.0000 0.0000 0.0945
In1 In 0.0000 0.0000 0.5000
Ni1 Ni 0.0728 0.5364 0.3075
Ni2 Ni 0.0841 0.5420 0.8938
B1 B 0.0000 0.5000 0.0000
# crystal system	trigonal
# mass density	7.7	g/cm3
# DFT formation energy	-0.07	eV per atom

# 3
# Ta2Mn5Al2V, relaxed, DFT PBE
data_Ta2Mn5Al2V
_symmetry_space_group_name_H-M 'P 4/m b m'
_symmetry_Int_Tables_number 127
_symmetry_space_group_name_Hall '-P 4 2ab'
_cell_length_a 9.3012
_cell_length_b 9.3012
_cell_length_c 3.1427
_cell_angle_alpha 90.00
_cell_angle_beta 90.00
_cell_angle_gamma 90.00
loop_
_atom_site_label
_atom_site_type_symbol
_atom_site_fract_x
_atom_site_fract_y
_atom_site_fract_z
Ta1 Ta 0.1680 0.3320 0.0000
Mn1 Mn 0.0000 0.5000 0.5000
Mn2 Mn 0.0606 0.8077 0.5000
Al1 Al 0.1298 0.6298 0.0000
V1 V 0.0000 0.0000 0.0000
# crystal system	tetragonal
# mass density	9.1	g/cm3
# DFT formation energy	0.00	eV per atom

# 4
# Li4ZrU3S8, relaxed, DFT PBE
data_Li4ZrU3S8
_symmetry_space_group_name_H-M 'R -3 m'
_symmetry_Int_Tables_number 166
_symmetry_space_group_name_Hall '-R 3 2"'
_cell_length_a 7.5451
_cell_length_b 7.5451
_cell_length_c 18.9684
_cell_angle_alpha 90.00
_cell_angle_beta 90.00
_cell_angle_gamma 120.00
loop_
_atom_site_label
_atom_site_type_symbol
_atom_site_fract_x
_atom_site_fract_y
_atom_site_fract_z
Li1 Li 0.0000 0.0000 0.0000
Li2 Li 0.0000 0.5000 0.0000
Zr1 Zr 0.0000 0.0000 0.5000
U1 U 0.0000 0.5000 0.5000
S1 S 0.0000 0.0000 0.2544
S2 S 0.0098 0.5049 0.2517
# formation energy without anion corrections	-1.401	eV per atom
# crystal system	trigonal
# mass density	5.8	g/cm3

# 5
# SrCd2TeW, relaxed, DFT PBE
data_SrCd2TeW
_symmetry_space_group_name_H-M 'P 4/m m m'
_symmetry_Int_Tables_number 123
_symmetry_space_group_name_Hall '-P 4 2'
_cell_length_a 5.4103
_cell_length_b 5.4103
_cell_length_c 5.1466
_cell_angle_alpha 90.00
_cell_angle_beta 90.00
_cell_angle_gamma 90.00
loop_
_atom_site_label
_atom_site_type_symbol
_atom_site_fract_x
_atom_site_fract_y
_atom_site_fract_z
Sr1 Sr 0.0000 0.0000 0.0000
Cd1 Cd 0.0000 0.5000 0.5000
Te1 Te 0.5000 0.5000 0.0000
W1 W 0.5000 0.5000 0.5000
# formation energy without anion corrections	0.236	eV per atom
# crystal system	tetragonal
# mass density	6.9	g/cm3

# 6
# RbAl2Pt, relaxed, DFT PBE
data_RbAl2Pt
_symmetry_space_group_name_H-M 'F m -3 m'
_symmetry_Int_Tables_number 225
_symmetry_space_group_name_Hall '-F 4 2 3'
_cell_length_a 6.8946
_cell_length_b 6.8946
_cell_length_c 6.8946
_cell_angle_alpha 90.00
_cell_angle_beta 90.00
_cell_angle_gamma 90.00
loop_
_atom_site_label
_atom_site_type_symbol
_atom_site_fract_x
_atom_site_fract_y
_atom_site_fract_z
Rb1 Rb 0.0000 0.0000 0.0000
Al1 Al 0.2500 0.2500 0.2500
Pt1 Pt 0.0000 0.0000 0.5000
# energy relative to the lowest polymorph listed for this composition	0.5595	eV/atom
# crystal system	cubic
# mass density	6.8	g/cm3
# DFT formation energy	0.29	eV per atom